15
Lattice="5.623 0.000 0.000 -2.811 4.869 0.000 0.000 0.000 6.918" Properties=species:S:1:pos:R:3 comment="Sr3CoTc2O9 (GGA+U, optimized geometry)" space_group=P-3m1 dft_energy_ev_per_atom=-7.07 pbc="T T T"
Sr 0.000 0.000 0.000
Sr 0.000 3.246 4.478
Sr 2.811 1.623 2.439
Co 0.000 0.000 3.459
Tc 0.000 3.246 1.121
Tc 2.811 1.623 5.797
O -1.406 2.435 0.000
O 0.000 1.666 2.246
O -1.369 4.036 2.246
O 1.443 0.833 4.672
O 2.811 0.000 0.000
O 1.406 2.435 0.000
O 1.369 4.036 2.246
O 4.180 0.833 4.672
O 2.811 3.203 4.672